# Ca2Ga6Rh, optimized geometry, DFT PBE-GGA
# ΔE_f = -0.4526 eV per atom
# uncorrected energy = -3.732 eV/atom
# density of states at the Fermi level = 5.11 states/eV/cell
# magnetization = 0.00 μB/f.u.
# ΔE to the lowest computed polymorph = 53 meV/atom
data_Ca2Ga6Rh
_chemical_formula_sum 'Ca4 Ga12 Rh2'
_cell_length_a 6.970
_cell_length_b 11.825
_cell_length_c 4.271
_cell_angle_alpha 90.00
_cell_angle_beta 90.00
_cell_angle_gamma 90.00
_space_group_name_H-M_alt 'C m m m'
_space_group_IT_number 65
_space_group_name_Hall '-C 2 2'
loop_
_atom_site_label
_atom_site_fract_x
_atom_site_fract_y
_atom_site_fract_z
Ca1 0.000 0.221 0.000
Ga1 0.195 0.368 0.500
Ga2 0.227 0.000 0.000
Rh1 0.000 0.000 0.500

---

# CaGa12Rh6, optimized geometry, DFT PBE-GGA
# ΔE_f = -0.5244 eV per atom
# uncorrected energy = -4.863 eV/atom
# density of states at the Fermi level = 18.86 states/eV/cell
# magnetization = 0.00 μB/f.u.
data_CaGa12Rh6
_chemical_formula_sum 'Ca3 Ga36 Rh18'
_cell_length_a 11.4236
_cell_length_b 11.4236
_cell_length_c 8.6472
_cell_angle_alpha 90.00
_cell_angle_beta 90.00
_cell_angle_gamma 120.00
_space_group_name_H-M_alt 'R -3 m'
_space_group_IT_number 166
_space_group_name_Hall '-R 3 2"'
loop_
_atom_site_label
_atom_site_fract_x
_atom_site_fract_y
_atom_site_fract_z
Ca1 0.0000 0.0000 0.0000
Ga1 0.0000 0.3844 0.5000
Ga2 0.0916 0.1833 0.3151
Rh1 0.0547 0.5274 0.2525

---

# Ca2GaRh, optimized geometry, DFT PBE-GGA
# ΔE_f = -0.3682 eV per atom
# uncorrected energy = -3.964 eV/atom
# density of states at the Fermi level = 2.28 states/eV/cell
# magnetization = 0.00 μB/f.u.
data_Ca2GaRh
_chemical_formula_sum 'Ca2 Ga1 Rh1'
_cell_length_a 3.536
_cell_length_b 3.536
_cell_length_c 7.139
_cell_angle_alpha 90.00
_cell_angle_beta 90.00
_cell_angle_gamma 90.00
_space_group_name_H-M_alt 'P 4/m m m'
_space_group_IT_number 123
_space_group_name_Hall '-P 4 2'
loop_
_atom_site_label
_atom_site_fract_x
_atom_site_fract_y
_atom_site_fract_z
Ca1 0.000 0.000 0.231
Ga1 0.500 0.500 0.500
Rh1 0.500 0.500 0.000

---

# Ca2Ga5Rh, optimized geometry, DFT PBE-GGA
# ΔE_f = -0.4135 eV per atom
# uncorrected energy = -3.725 eV/atom
# density of states at the Fermi level = 10.75 states/eV/cell
# magnetization = 0.00 μB/f.u.
data_Ca2Ga5Rh
_chemical_formula_sum 'Ca4 Ga10 Rh2'
_cell_length_a 5.966
_cell_length_b 5.966
_cell_length_c 10.157
_cell_angle_alpha 90.00
_cell_angle_beta 90.00
_cell_angle_gamma 90.00
_space_group_name_H-M_alt 'I 4 m m'
_space_group_IT_number 107
_space_group_name_Hall 'I 4 -2'
loop_
_atom_site_label
_atom_site_fract_x
_atom_site_fract_y
_atom_site_fract_z
Ca1 0.000 0.500 0.000
Ga1 0.000 0.000 0.074
Ga2 0.223 0.223 0.261
Rh1 0.000 0.000 0.834

---

# CaGa11Rh, optimized geometry, DFT PBE-GGA
# ΔE_f = -0.1956 eV per atom
# uncorrected energy = -3.476 eV/atom
# density of states at the Fermi level = 11.73 states/eV/cell
# magnetization = 0.00 μB/f.u.
data_CaGa11Rh
_chemical_formula_sum 'Ca2 Ga22 Rh2'
_cell_length_a 5.177
_cell_length_b 12.525
_cell_length_c 7.880
_cell_angle_alpha 90.00
_cell_angle_beta 107.89
_cell_angle_gamma 90.00
_space_group_name_H-M_alt 'C 1 2/m 1'
_space_group_IT_number 12
_space_group_name_Hall '-C 2y'
loop_
_atom_site_label
_atom_site_fract_x
_atom_site_fract_y
_atom_site_fract_z
Ca1 0.000 0.000 0.000
Ga1 0.000 0.000 0.500
Ga2 0.116 0.392 0.228
Ga3 0.200 0.175 0.367
Ga4 0.250 0.250 0.000
Rh1 0.000 0.500 0.500

---

# CaGa2Rh, optimized geometry, DFT PBE-GGA
# ΔE_f = -0.6572 eV per atom
# uncorrected energy = -4.509 eV/atom
# density of states at the Fermi level = 15.11 states/eV/cell
# magnetization = 0.00 μB/f.u.
data_CaGa2Rh
_chemical_formula_sum 'Ca8 Ga16 Rh8'
_cell_length_a 15.248
_cell_length_b 7.079
_cell_length_c 5.708
_cell_angle_alpha 90.00
_cell_angle_beta 90.00
_cell_angle_gamma 90.00
_space_group_name_H-M_alt 'P n m a'
_space_group_IT_number 62
_space_group_name_Hall '-P 2ac 2n'
loop_
_atom_site_label
_atom_site_fract_x
_atom_site_fract_y
_atom_site_fract_z
Ca1 0.102 0.250 0.249
Ca2 0.136 0.750 0.471
Ga1 0.043 0.060 0.759
Ga2 0.211 0.550 0.952
Rh1 0.071 0.750 0.993
Rh2 0.191 0.250 0.713

---

# CaGa3Rh, optimized geometry, DFT PBE-GGA
# ΔE_f = -0.5091 eV per atom
# uncorrected energy = -4.196 eV/atom
# density of states at the Fermi level = 8.02 states/eV/cell
# magnetization = 0.00 μB/f.u.
data_CaGa3Rh
_chemical_formula_sum 'Ca4 Ga12 Rh4'
_cell_length_a 10.907
_cell_length_b 6.287
_cell_length_c 5.663
_cell_angle_alpha 90.00
_cell_angle_beta 90.01
_cell_angle_gamma 90.00
_space_group_name_H-M_alt 'C 1 2/m 1'
_space_group_IT_number 12
_space_group_name_Hall '-C 2y'
loop_
_atom_site_label
_atom_site_fract_x
_atom_site_fract_y
_atom_site_fract_z
Ca1 0.166 0.000 0.251
Ga1 0.096 0.214 0.750
Ga2 0.191 0.500 0.250
Rh1 0.000 0.500 0.000
Rh2 0.000 0.500 0.500

---

# Ca2Ga12Rh, optimized geometry, DFT PBE-GGA
# ΔE_f = -0.3591 eV per atom
# uncorrected energy = -3.538 eV/atom
# density of states at the Fermi level = 9.08 states/eV/cell
# magnetization = 0.00 μB/f.u.
data_Ca2Ga12Rh
_chemical_formula_sum 'Ca4 Ga24 Rh2'
_cell_length_a 6.030
_cell_length_b 6.030
_cell_length_c 16.128
_cell_angle_alpha 90.00
_cell_angle_beta 90.00
_cell_angle_gamma 90.00
_space_group_name_H-M_alt 'P 4/n b m'
_space_group_IT_number 125
loop_
_space_group_symop_operation_xyz
'x,y,z'
'-x,-y,-z'
'-y+1/2,x,z'
'y+1/2,-x,-z'
'-x+1/2,-y+1/2,z'
'x+1/2,y+1/2,-z'
'y,-x+1/2,z'
'-y,x+1/2,-z'
'x,-y+1/2,-z'
'-x,y+1/2,z'
'-y+1/2,-x+1/2,-z'
'y+1/2,x+1/2,z'
'-x+1/2,y,-z'
'x+1/2,-y,z'
'y,x,-z'
'-y,-x,z'
loop_
_atom_site_label
_atom_site_fract_x
_atom_site_fract_y
_atom_site_fract_z
Ca1 0.250 0.750 0.249
Ga1 0.000 0.000 0.087
Ga2 0.070 0.570 0.430
Ga3 0.250 0.250 0.188
Ga4 0.250 0.250 0.342
Rh1 0.250 0.750 0.000

---

# CaGaRh, optimized geometry, DFT PBE-GGA
# ΔE_f = -0.7049 eV per atom
# uncorrected energy = -4.832 eV/atom
# density of states at the Fermi level = 1.98 states/eV/cell
# magnetization = 0.00 μB/f.u.
data_CaGaRh
_chemical_formula_sum 'Ca2 Ga2 Rh2'
_cell_length_a 4.341
_cell_length_b 4.341
_cell_length_c 6.816
_cell_angle_alpha 90.00
_cell_angle_beta 90.00
_cell_angle_gamma 90.00
_space_group_name_H-M_alt 'P 4/n m m'
_space_group_IT_number 129
loop_
_space_group_symop_operation_xyz
'x,y,z'
'-x,-y,-z'
'-y+1/2,x,z'
'y+1/2,-x,-z'
'-x+1/2,-y+1/2,z'
'x+1/2,y+1/2,-z'
'y,-x+1/2,z'
'-y,x+1/2,-z'
'x+1/2,-y,-z'
'-x+1/2,y,z'
'-y,-x,-z'
'y,x,z'
'-x,y+1/2,-z'
'x,-y+1/2,z'
'y+1/2,x+1/2,-z'
'-y+1/2,-x+1/2,z'
loop_
_atom_site_label
_atom_site_fract_x
_atom_site_fract_y
_atom_site_fract_z
Ca1 0.250 0.250 0.189
Ga1 0.250 0.250 0.692
Rh1 0.250 0.750 0.500

---

# CaGa3Rh3, optimized geometry, DFT PBE-GGA
# ΔE_f = -0.2625 eV per atom
# uncorrected energy = -4.996 eV/atom
# density of states at the Fermi level = 7.11 states/eV/cell
# magnetization = 0.00 μB/f.u.
data_CaGa3Rh3
_chemical_formula_sum 'Ca2 Ga6 Rh6'
_cell_length_a 6.740
_cell_length_b 6.740
_cell_length_c 6.740
_cell_angle_alpha 90.00
_cell_angle_beta 90.00
_cell_angle_gamma 90.00
_space_group_name_H-M_alt 'P m -3 n'
_space_group_IT_number 223
_space_group_name_Hall '-P 4n 2 3'
loop_
_atom_site_label
_atom_site_fract_x
_atom_site_fract_y
_atom_site_fract_z
Ca1 0.000 0.000 0.000
Ga1 0.000 0.250 0.500
Rh1 0.000 0.500 0.250

---

# Ca2Ga7Rh, optimized geometry, DFT PBE-GGA
# ΔE_f = -0.4332 eV per atom
# uncorrected energy = -3.688 eV/atom
# density of states at the Fermi level = 5.18 states/eV/cell
# magnetization = 0.00 μB/f.u.
data_Ca2Ga7Rh
_chemical_formula_sum 'Ca2 Ga7 Rh1'
_cell_length_a 4.263
_cell_length_b 4.263
_cell_length_c 10.877
_cell_angle_alpha 90.00
_cell_angle_beta 90.00
_cell_angle_gamma 90.00
_space_group_name_H-M_alt 'P -4 m 2'
_space_group_IT_number 115
_space_group_name_Hall 'P -4 -2'
loop_
_atom_site_label
_atom_site_fract_x
_atom_site_fract_y
_atom_site_fract_z
Ca1 0.000 0.500 0.241
Ga1 0.000 0.000 0.000
Ga2 0.000 0.000 0.500
Ga3 0.000 0.500 0.640
Ga4 0.000 0.500 0.872
Ga5 0.500 0.500 0.500
Rh1 0.500 0.500 0.000

---

# Ca3GaRh, optimized geometry, DFT PBE-GGA
# ΔE_f = 0.3904 eV per atom
# uncorrected energy = -2.886 eV/atom
# density of states at the Fermi level = 6.73 states/eV/cell
# magnetization = 0.60 μB/f.u.
data_Ca3GaRh
_chemical_formula_sum 'Ca3 Ga1 Rh1'
_cell_length_a 5.488
_cell_length_b 5.488
_cell_length_c 5.488
_cell_angle_alpha 90.00
_cell_angle_beta 90.00
_cell_angle_gamma 90.00
_space_group_name_H-M_alt 'P m -3 m'
_space_group_IT_number 221
_space_group_name_Hall '-P 4 2 3'
loop_
_atom_site_label
_atom_site_fract_x
_atom_site_fract_y
_atom_site_fract_z
Ca1 0.000 0.000 0.500
Ga1 0.000 0.000 0.000
Rh1 0.500 0.500 0.500